A relaxed structure of CeNi2Ir2, computed with PBE.

Results
The value obtained for the calculated density is 12.9 g cm⁻³. Its formation energy is -0.253 eV per atom. The total energy is -72.97 eV for the cell shown.

POSCAR file:
```
CeNi2Ir2
1.0
-1.9302 1.9302 11.1181
1.9302 -1.9302 11.1181
1.9302 1.9302 -11.1181
Ce Ni Ir
2 4 4
Cartesian
0.0000 0.0000 2.7478 Ce
0.0000 0.0000 19.4883 Ce
1.9302 0.0000 0.0000 Ni
0.0000 0.0000 7.1646 Ni
0.0000 1.9302 0.0000 Ni
0.0000 0.0000 15.0715 Ni
1.9302 0.0000 5.5590 Ir
0.0000 0.0000 9.5337 Ir
0.0000 0.0000 12.7024 Ir
0.0000 1.9302 5.5590 Ir
```